Record 1
VASP calculation (PBE) on a relaxed HoTmCo2 crystal.

Cell lengths 3.315, 4.666, 4.666 Å; angles 90.00, 90.00, 90.00 degrees
Last column: magnetic moment on the atom in μB.
Positions (direct):
Co (0.000, 0.000, 0.500)  0.61
Ho (0.500, 0.500, 0.500)  -0.22
Tm (0.500, 0.000, 0.000)  -0.23
Co (0.000, 0.500, 0.000)  0.61

Properties
Space group ... P4/mmm, No. 123
ΔH_f (0 K) ... -0.786 eV per formula unit
VASP energy ... -6.01 eV/atom

=====

Record 2
VASP calculation (PBE) on a relaxed Pu2AsS crystal.

Cell lengths 4.058, 4.058, 13.681 Å; angles 90.00, 90.00, 120.00 degrees
Last column: magnetic moment on the atom in μB.
Positions (direct):
Pu (0.667, 0.333, 0.875)  5.31
As (0.000, 0.000, 0.000)  -0.14
Pu (0.333, 0.667, 0.125)  5.31
S (0.333, 0.667, 0.750)  -0.13
Pu (0.333, 0.667, 0.375)  5.31
S (0.667, 0.333, 0.250)  -0.13
As (0.000, 0.000, 0.500)  -0.14
Pu (0.667, 0.333, 0.625)  5.31

Properties
Space group ... P6_3/mmc, No. 194
Uncorrected formation energy ... -1309.6 meV per atom
VASP energy ... -10.67 eV/atom

=====

Record 3
VASP calculation (PBE) on a relaxed RbSnN3 crystal.

Cell lengths 4.349, 4.349, 4.349 Å; angles 90.00, 90.00, 90.00 degrees
Last column: magnetic moment on the atom in μB.
Positions (direct):
N (0.000, 0.500, 0.000)  0.94
N (0.500, 0.000, 0.000)  0.97
N (0.000, 0.000, 0.500)  0.84
Sn (0.000, 0.000, 0.000)  -0.08
Rb (0.500, 0.500, 0.500)  0.02

Properties
Space group ... Pm-3m, No. 221
Uncorrected formation energy ... 1310.2 meV per atom
VASP energy ... -4.68 eV/atom

=====

Record 4
VASP calculation (PBE) on a relaxed Ag2AuBr6 crystal.

Cell lengths 7.015, 7.075, 12.388 Å; angles 90.00, 75.46, 90.00 degrees
Positions (direct):
Br (0.821, 0.700, 0.562)
Au (0.000, 0.000, 0.500)
Ag (0.976, 0.649, 0.163)
Br (0.653, 0.491, 0.274)
Ag (0.476, 0.851, 0.663)
Br (0.321, 0.800, 0.062)
Ag (0.024, 0.351, 0.837)
Br (0.847, 0.991, 0.226)
Br (0.189, 0.324, 0.085)
Br (0.347, 0.509, 0.726)
Au (0.500, 0.500, 0.000)
Ag (0.524, 0.149, 0.337)
Br (0.311, 0.824, 0.415)
Br (0.689, 0.176, 0.585)
Br (0.179, 0.300, 0.438)
Br (0.811, 0.676, 0.915)
Br (0.153, 0.009, 0.774)
Br (0.679, 0.200, 0.938)

Properties
Space group ... P2_1/c, No. 14
Uncorrected formation energy ... -212.8 meV per atom
VASP energy ... -2.33 eV/atom

=====

Record 5
VASP calculation (PBE) on a relaxed Rb2LiTe2 crystal.

Cell lengths 8.270, 8.270, 5.571 Å; angles 90.00, 90.00, 90.00 degrees
Positions (direct):
Li (0.500, 0.500, 0.000)
Rb (0.153, 0.653, 0.500)
Te (0.154, 0.346, 0.000)
Rb (0.847, 0.347, 0.500)
Li (0.000, 0.000, 0.000)
Te (0.846, 0.654, 0.000)
Rb (0.653, 0.847, 0.500)
Te (0.654, 0.154, 0.000)
Rb (0.347, 0.153, 0.500)
Te (0.346, 0.846, 0.000)

Properties
Space group ... P4/mbm, No. 127
Uncorrected formation energy ... -721.7 meV per atom
VASP energy ... -2.75 eV/atom

=====

Record 6
VASP calculation (PBE) on a relaxed TlNiRh2 crystal.

Cell lengths 8.507, 8.507, 8.507 Å; angles 20.13, 20.13, 20.13 degrees
Last column: magnetic moment on the atom in μB.
Positions (direct):
Rh (0.009, 0.009, 0.009)  0.06
Ni (0.750, 0.750, 0.750)  0.21
Rh (0.491, 0.491, 0.491)  0.06
Tl (0.250, 0.250, 0.250)  0.00

Properties
Space group ... R-3m, No. 166
ΔH_f (0 K) ... 1.460 eV per formula unit
VASP energy ... -5.35 eV/atom